LaZnS3 (PBE, relaxed); E = -3.841 eV/atom; relative energy among the computed polymorphs = 0.817 eV per atom; SG = No. 221; ΔE_f (raw) = -0.62 eV/f.u.
1.0
5.576 0.000 0.000
0.000 5.576 0.000
0.000 0.000 5.576
Zn S La
1 3 1
direct
0.500 0.500 0.500 Zn
0.000 0.500 0.000 S
0.000 0.000 0.500 S
0.500 0.000 0.000 S
0.000 0.000 0.000 La